No. 1
# CoSb2Ir

CoSb2Ir after structural relaxation (GGA-PBE, Alexandria via LeMat-Bulk).

Summary:
Space group: R-3m (166)
Energy above the lowest structure with this stoichiometry in meV per atom: 403

abc: 8.030 8.030 8.030
angles: 23.31 23.31 23.31
Fractional positions:
Co: 0.250 0.250 0.250
Ir: 0.750 0.750 0.750
Sb: 0.995 0.995 0.995
Sb: 0.505 0.505 0.505

***

No. 2
# Co2SbIr

Co2SbIr after structural relaxation (GGA-PBE, Alexandria via LeMat-Bulk).

Summary:
Space group: Cm (8)

abc: 4.549 4.549 4.587
angles: 79.33 79.33 37.81
Fractional positions:
Co: 0.993 0.993 0.022
Co: 0.253 0.253 0.235
Ir: 0.506 0.506 0.479
Sb: 0.748 0.748 0.764

***

No. 3
# CoSb2Ir

CoSb2Ir after structural relaxation (GGA-PBE, Alexandria via LeMat-Bulk).

Summary:
Space group: Fm-3m (225)
Energy above the lowest structure with this stoichiometry in meV per atom: 468

abc: 4.655 4.655 4.655
angles: 60.00 60.00 60.00
Fractional positions:
Sb: 0.250 0.250 0.250
Sb: 0.750 0.750 0.750
Ir: 0.500 0.500 0.500
Co: 0.000 0.000 0.000

***

No. 4
# CoSbIr2

CoSbIr2 after structural relaxation (GGA-PBE, Alexandria via LeMat-Bulk).

Summary:
Space group: F-43m (216)

abc: 4.446 4.446 4.446
angles: 60.00 60.00 60.00
Fractional positions:
Co: 0.500 0.500 0.500
Ir: 0.000 0.000 0.000
Ir: 0.250 0.250 0.250
Sb: 0.750 0.750 0.750

***

No. 5
# CoSbIr2

CoSbIr2 after structural relaxation (GGA-PBE, Alexandria via LeMat-Bulk).

Summary:
Space group: P4/mmm (123)

abc: 3.847 3.935 3.935
angles: 90.00 90.00 90.00
Fractional positions:
Co: 0.500 0.000 0.500
Ir: 0.000 0.000 0.000
Ir: 0.000 0.500 0.500
Sb: 0.500 0.500 0.000

***

No. 6
# CoSb2Ir

CoSb2Ir after structural relaxation (GGA-PBE, Alexandria via LeMat-Bulk).

Summary:
Space group: P4mm (99)
Energy above the lowest structure with this stoichiometry in meV per atom: 253

abc: 3.665 3.666 5.367
angles: 90.00 90.00 90.00
Fractional positions:
Co: 0.000 0.000 0.444
Ir: 0.500 0.500 0.800
Sb: 0.000 0.000 0.940
Sb: 0.500 0.500 0.317

***

No. 7
# Co2SbIr

Co2SbIr after structural relaxation (GGA-PBE, Alexandria via LeMat-Bulk).

Summary:
Space group: I4/mmm (139)

abc: 4.578 4.578 4.578
angles: 129.52 129.49 74.21
Fractional positions:
Co: 0.000 0.000 0.000
Co: 0.500 0.500 0.000
Ir: 0.750 0.250 0.500
Sb: 0.250 0.750 0.500

***

No. 8
# Co2SbIr

Co2SbIr after structural relaxation (GGA-PBE, Alexandria via LeMat-Bulk).

Summary:
Space group: I-4m2 (119)

abc: 4.632 4.632 4.632
angles: 130.60 130.62 72.43
Fractional positions:
Co: 0.000 0.000 0.000
Co: 0.750 0.250 0.500
Ir: 0.500 0.500 0.000
Sb: 0.250 0.750 0.500

***

Number 1: raw formation energy 0.84 eV/f.u., total magnetization 0.524 μB per cell. Number 2: raw formation energy 0.70 eV/f.u., total magnetization 2.398 μB per cell. Number 3: raw formation energy 1.10 eV/f.u., total magnetization 1.530 μB per cell. Number 4: raw formation energy 1.45 eV/f.u., total magnetization 2.123 μB per cell. Number 5: raw formation energy 0.28 eV/f.u., total magnetization 0.000 μB per cell. Number 6: raw formation energy 0.23 eV/f.u., total magnetization 0.000 μB per cell. Number 7: raw formation energy 0.54 eV/f.u., total magnetization 1.873 μB per cell. Number 8: raw formation energy 0.27 eV/f.u., total magnetization 2.330 μB per cell.